## YNbCu2Tc (PBE-GGA)

Data for a relaxed structure of YNbCu2Tc.

Results
**Magnetic moment**: 2.93 μB per cell
**Energy of formation**: 6.42 eV/f.u.

Cell and atoms, written as POSCAR:
```
YNbCu2Tc
1.0
4.7427 0.0000 0.0000
0.0000 4.7427 0.0000
0.0000 0.0000 4.8376
Y Nb Cu Tc
1 1 2 1
Direct
0.0000 0.0000 0.0000
0.5000 0.5000 0.0000
0.0000 0.5000 0.5000
0.5000 0.0000 0.5000
0.0000 0.0000 0.5000
```